[1]
Computed, not measured: Tb4Nd3Tm5 after structural relaxation at the GGA-PBE level of DFT.

a = 7.117 Å, b = 11.246 Å, c = 12.825 Å
α = 151.30°, β = 56.43°, γ = 129.20°
Atoms (fractional coordinates):
Tb1 0.918 0.836 0.669
Tb2 0.831 0.664 0.833
Tb3 0.169 0.336 0.167
Tb4 0.082 0.164 0.331
Nd1 0.584 0.167 0.333
Nd2 0.000 0.000 0.500
Nd3 0.416 0.833 0.667
Tm1 0.331 0.666 0.835
Tm2 0.500 0.000 0.500
Tm3 0.750 0.501 0.001
Tm4 0.250 0.499 0.999
Tm5 0.669 0.334 0.165

Values from the calculation:
ΔE_f in eV/atom: 0.02
Space-group type: P-1 (2)

[2]
Computed, not measured: Re2NiBr after structural relaxation at the GGA-PBE level of DFT.

a = 2.837 Å, b = 4.589 Å, c = 4.729 Å
α = 90.00°, β = 90.00°, γ = 90.00°
Atoms (fractional coordinates):
Br1 0.500 0.000 0.500
Ni1 0.000 0.500 0.500
Re1 0.000 0.000 0.000
Re2 0.500 0.500 0.000

Values from the calculation:
Space-group type: Pmmm (47)
Formation energy without anion corrections in eV per atom: 1.10

[3]
Computed, not measured: La6Tb2Nd after structural relaxation at the GGA-PBE level of DFT.

a = 3.703 Å, b = 10.222 Å, c = 10.222 Å
α = 55.75°, β = 90.00°, γ = 90.00°
Atoms (fractional coordinates):
La1 0.000 0.507 0.162
La2 0.000 0.838 0.493
La3 0.000 0.493 0.838
La4 0.500 0.675 0.325
La5 0.000 0.162 0.507
La6 0.500 0.325 0.675
Tb1 0.500 0.177 0.177
Tb2 0.500 0.823 0.823
Nd1 0.000 0.000 0.000

Values from the calculation:
ΔE_f in eV/atom: 0.11
Space-group type: Cmmm (65)

[4]
Computed, not measured: Na6Tl5Sb after structural relaxation at the GGA-PBE level of DFT.

a = 5.117 Å, b = 8.912 Å, c = 8.912 Å
α = 105.45°, β = 106.83°, γ = 106.83°
Atoms (fractional coordinates):
Na1 0.235 0.071 0.398
Na2 0.765 0.602 0.929
Na3 0.717 0.215 0.215
Na4 0.283 0.785 0.785
Na5 0.235 0.398 0.071
Na6 0.765 0.929 0.602
Tl1 0.500 0.185 0.815
Tl2 0.000 0.358 0.642
Tl3 0.500 0.500 0.500
Tl4 0.000 0.642 0.358
Tl5 0.500 0.815 0.185
Sb1 0.000 0.000 0.000

Values from the calculation:
Space-group type: C2/m (12)
Formation energy without anion corrections in eV per atom: -0.16

[5]
Computed, not measured: TaMnNb2Re after structural relaxation at the GGA-PBE level of DFT.

a = 4.834 Å, b = 4.834 Å, c = 4.701 Å
α = 90.00°, β = 90.00°, γ = 90.00°
Last column: magnetic moment on the atom in μB.
Atoms (fractional coordinates):
Re1 0.000 0.000 0.500  0.47
Nb1 0.000 0.500 0.000  -0.08
Nb2 0.500 0.000 0.000  -0.08
Mn1 0.500 0.500 0.500  -0.11
Ta1 0.000 0.000 0.000  0.00

Values from the calculation:
ΔE_f in eV/atom: 2.16
Space-group type: P4/mmm (123)

[6]
Computed, not measured: SmPuCdRu after structural relaxation at the GGA-PBE level of DFT.

a = 5.091 Å, b = 5.091 Å, c = 5.091 Å
α = 60.00°, β = 60.00°, γ = 60.00°
Last column: magnetic moment on the atom in μB.
Atoms (fractional coordinates):
Ru1 0.500 0.500 0.500  -0.47
Cd1 0.000 0.000 0.000  0.03
Sm1 0.750 0.750 0.750  0.10
Pu1 0.250 0.250 0.250  5.29

Values from the calculation:
ΔE_f in eV/atom: -0.03
Space-group type: F-43m (216)

[7]
Computed, not measured: ScHg3Cl9 after structural relaxation at the GGA-PBE level of DFT.

a = 9.045 Å, b = 10.347 Å, c = 11.254 Å
α = 75.26°, β = 66.31°, γ = 64.08°
Atoms (fractional coordinates):
Sc1 0.054 0.496 0.000
Sc2 0.450 0.996 0.500
Hg1 0.766 0.613 0.737
Hg2 0.884 0.113 0.237
Hg3 0.000 0.899 0.895
Hg4 0.206 0.399 0.395
Hg5 0.674 0.224 0.704
Hg6 0.397 0.724 0.204
Cl1 0.335 0.167 0.315
Cl2 0.182 0.667 0.815
Cl3 0.322 0.301 0.916
Cl4 0.462 0.801 0.416
Cl5 0.157 0.070 0.649
Cl6 0.123 0.570 0.149
Cl7 0.766 0.693 0.033
Cl8 0.508 0.193 0.533
Cl9 0.782 0.920 0.332
Cl10 0.966 0.420 0.832
Cl11 0.522 0.825 0.709
Cl12 0.943 0.325 0.209
Cl13 0.500 0.478 0.274
Cl14 0.748 0.978 0.774
Cl15 0.669 0.456 0.616
Cl16 0.259 0.956 0.116
Cl17 0.845 0.115 0.998
Cl18 0.042 0.615 0.498

Values from the calculation:
Space-group type: Cc (9)
Formation energy without anion corrections in eV per atom: -1.00

[8]
Computed, not measured: Ba2Sr2Zn3 after structural relaxation at the GGA-PBE level of DFT.

a = 5.624 Å, b = 5.623 Å, c = 9.995 Å
α = 90.00°, β = 106.38°, γ = 119.90°
Atoms (fractional coordinates):
Ba1 0.244 0.122 0.366
Ba2 0.756 0.878 0.634
Sr1 0.742 0.371 0.114
Sr2 0.258 0.629 0.886
Zn1 0.000 0.000 0.000
Zn2 0.508 0.254 0.762
Zn3 0.492 0.746 0.238

Values from the calculation:
ΔE_f in eV/atom: -0.12
Space-group type: C2/m (12)

[9]
Computed, not measured: NdAlHgAu after structural relaxation at the GGA-PBE level of DFT.

a = 5.029 Å, b = 5.029 Å, c = 5.029 Å
α = 60.00°, β = 60.00°, γ = 60.00°
Atoms (fractional coordinates):
Nd1 0.250 0.250 0.250
Au1 0.000 0.000 0.000
Hg1 0.500 0.500 0.500
Al1 0.750 0.750 0.750

Values from the calculation:
ΔE_f in eV/atom: -0.48
Space-group type: F-43m (216)

[10]
Computed, not measured: MgNpAs2Rh5 after structural relaxation at the GGA-PBE level of DFT.

a = 4.039 Å, b = 4.039 Å, c = 10.653 Å
α = 90.00°, β = 90.00°, γ = 90.00°
Last column: magnetic moment on the atom in μB.
Atoms (fractional coordinates):
Mg1 0.000 0.000 0.000  0.00
Np1 0.000 0.000 0.500  3.94
As1 0.500 0.500 0.276  -0.01
As2 0.500 0.500 0.724  -0.01
Rh1 0.000 0.500 0.159  0.00
Rh2 0.500 0.000 0.159  0.00
Rh3 0.000 0.500 0.841  0.00
Rh4 0.500 0.000 0.841  0.00
Rh5 0.500 0.500 0.500  -0.21

Values from the calculation:
ΔE_f in eV/atom: -0.20
Space-group type: P4/mmm (123)

[11]
Computed, not measured: Y8Ge3Te4S after structural relaxation at the GGA-PBE level of DFT.

a = 8.423 Å, b = 8.578 Å, c = 8.423 Å
α = 119.41°, β = 120.00°, γ = 90.00°
Atoms (fractional coordinates):
Y1 0.241 0.718 0.977
Y2 0.241 0.718 0.482
Y3 0.260 0.279 0.519
Y4 0.737 0.718 0.977
Y5 0.263 0.282 0.023
Y6 0.740 0.721 0.481
Y7 0.759 0.282 0.518
Y8 0.759 0.282 0.023
Ge1 0.500 0.500 0.000
Ge2 0.500 0.500 0.500
Ge3 0.000 0.500 0.500
Te1 0.500 0.000 0.000
Te2 0.500 0.000 0.500
Te3 0.000 0.000 0.000
Te4 0.000 0.000 0.500
S1 0.000 0.500 0.000

Values from the calculation:
Space-group type: R-3m (166)
Formation energy without anion corrections in eV per atom: -1.35

[12]
Computed, not measured: Tb2Dy3Bi2 after structural relaxation at the GGA-PBE level of DFT.

a = 4.324 Å, b = 6.476 Å, c = 8.617 Å
α = 107.04°, β = 90.00°, γ = 109.50°
Atoms (fractional coordinates):
Tb1 0.876 0.753 0.228
Tb2 0.124 0.247 0.772
Dy1 0.500 0.000 0.000
Dy2 0.625 0.251 0.445
Dy3 0.375 0.749 0.555
Bi1 0.824 0.648 0.811
Bi2 0.176 0.352 0.189

Values from the calculation:
ΔE_f in eV/atom: -0.46
Space-group type: C2/m (12)